Entry from Alexandria: a relaxed structure of KSrAg2 (GGA-PBE).

## Properties
**Offset from the most stable computed form**: 0.000 eV per atom
**ΔH_f (0 K)**: -46 kJ/mol of formula units
**Space-group type**: P2/m (10)

a b c (Å): 3.981 4.139 8.091
angles (deg): 90.00 90.19 90.00
Positions (direct):
K (0.000, 0.000, 0.000)
Sr (0.000, 0.000, 0.500)
Ag (0.498, 0.500, 0.298)
Ag (0.502, 0.500, 0.702)

***

Entry from Alexandria: a relaxed structure of K2SrAg (GGA-PBE).

## Properties
**Offset from the most stable computed form**: 0.248 eV per atom
**ΔH_f (0 K)**: 84 kJ/mol of formula units
**Space-group type**: Cmmm (65)

a b c (Å): 6.802 6.802 4.589
angles (deg): 90.00 90.00 115.38
Positions (direct):
K (0.000, 0.500, 0.000)
K (0.500, 0.000, 0.000)
Sr (0.000, 0.000, 0.500)
Ag (0.500, 0.500, 0.500)

***

Entry from Alexandria: a relaxed structure of K3SrAg (GGA-PBE).

## Properties
**Offset from the most stable computed form**: 0.541 eV per atom
**ΔH_f (0 K)**: 341 kJ/mol of formula units
**Space-group type**: Pm-3m (221)

a b c (Å): 7.769 7.769 7.769
angles (deg): 90.00 90.00 90.00
Positions (direct):
K (0.000, 0.000, 0.500)
K (0.000, 0.500, 0.000)
K (0.500, 0.000, 0.000)
Sr (0.000, 0.000, 0.000)
Ag (0.500, 0.500, 0.500)

***

Entry from Alexandria: a relaxed structure of KSrAg2 (GGA-PBE).

## Properties
**Offset from the most stable computed form**: 0.095 eV per atom
**ΔH_f (0 K)**: -10 kJ/mol of formula units
**Space-group type**: Cm (8)

a b c (Å): 6.804 6.804 5.250
angles (deg): 112.23 112.23 34.87
Positions (direct):
K (0.000, 0.000, 0.000)
Sr (0.212, 0.212, 0.708)
Ag (0.441, 0.441, 0.442)
Ag (0.773, 0.773, 0.269)

***

Entry from Alexandria: a relaxed structure of K2SrAg (GGA-PBE).

## Properties
**Offset from the most stable computed form**: 0.040 eV per atom
**ΔH_f (0 K)**: 4 kJ/mol of formula units
**Space-group type**: Immm (71)

a b c (Å): 10.256 10.256 10.256
angles (deg): 156.72 151.30 37.27
Positions (direct):
K (0.164, 0.164, 0.000)
K (0.836, 0.836, 0.000)
Sr (0.500, 0.000, 0.500)
Ag (0.000, 0.500, 0.500)

***

Entry from Alexandria: a relaxed structure of KSrAg2 (GGA-PBE).

## Properties
**Offset from the most stable computed form**: 0.008 eV per atom
**ΔH_f (0 K)**: -43 kJ/mol of formula units
**Space-group type**: Pm (6)

a b c (Å): 4.566 4.801 6.540
angles (deg): 90.00 110.25 90.00
Positions (direct):
K (0.000, 0.000, 0.000)
Sr (0.718, 0.500, 0.435)
Ag (0.285, 0.000, 0.569)
Ag (0.417, 0.500, 0.833)

***

Entry from Alexandria: a relaxed structure of K2SrAg (GGA-PBE).

## Properties
**Offset from the most stable computed form**: 0.288 eV per atom
**ΔH_f (0 K)**: 99 kJ/mol of formula units
**Space-group type**: Fm-3m (225)

a b c (Å): 6.367 6.367 6.367
angles (deg): 60.00 60.00 60.00
Positions (direct):
K (0.250, 0.250, 0.250)
K (0.750, 0.750, 0.750)
Sr (0.000, 0.000, 0.000)
Ag (0.500, 0.500, 0.500)

***

Entry from Alexandria: a relaxed structure of K2SrAg (GGA-PBE).

## Properties
**Offset from the most stable computed form**: 0.000 eV per atom
**ΔH_f (0 K)**: -12 kJ/mol of formula units
**Space-group type**: P4mm (99)

a b c (Å): 4.133 4.133 11.271
angles (deg): 90.00 90.00 90.00
Positions (direct):
K (0.000, 0.000, 0.000)
K (0.500, 0.500, 0.337)
Sr (0.000, 0.000, 0.650)
Ag (0.500, 0.500, 0.794)